Below is an optimized crystal structure of CrFe2PdI, with properties calculated at the PBE level.

Results
Raw total energy in eV per atom: -5.59
ΔE_f (raw) in eV per formula unit: 5.4
Spin magnetization in μB per formula unit: 11.00

a = 4.741 Å, b = 4.741 Å, c = 5.020 Å
α = 90.00°, β = 90.00°, γ = 90.00°
Space group P4/mmm (No. 123)
Inequivalent atoms, fractional coordinates:
Cr: 0.000 0.000 0.000 [1 per cell]
Fe: 0.000 0.500 0.500 [2 per cell]
Pd: 0.000 0.000 0.500 [1 per cell]
I: 0.500 0.500 0.000 [1 per cell]